No. 1
Density functional theory data (SCAN) for CaTc2Ir at its PBEsol-relaxed geometry.

- energy (eV/cell) = -446.4
- energy of formation (eV per formula unit) = 2.1
- V (A^3/atom) = 16.0
- D(E_F) (states/eV per cell) = 12.35
- total magnetic moment (μB per cell) = 0.00
- ΔE to the lowest computed polymorph (meV/atom) = 201

Cell lengths 2.7738, 2.7738, 28.7432 Å; angles 90.00, 90.00, 120.00 degrees
Space group R-3m (No. 166, hexagonal axes)
One atom of each set of equivalent atoms:
Ca  0.0000  0.0000  0.0000 x3
Tc  0.0000  0.0000  0.2413 x6
Ir  0.0000  0.0000  0.5000 x3

No. 2
Density functional theory data (SCAN) for CaTc2Ir at its PBEsol-relaxed geometry.

- energy (eV/cell) = -149.0
- energy of formation (eV per formula unit) = 1.9
- V (A^3/atom) = 17.9
- D(E_F) (states/eV per cell) = 4.50
- total magnetic moment (μB per cell) = 0.00
- ΔE to the lowest computed polymorph (meV/atom) = 153

Cell lengths 3.234, 3.234, 6.851 Å; angles 90.00, 90.00, 90.00 degrees
Space group P4/mmm (No. 123)
One atom of each set of equivalent atoms:
Ca  0.000  0.000  0.000 x1
Tc  0.500  0.500  0.319 x2
Ir  0.000  0.000  0.500 x1

No. 3
Density functional theory data (SCAN) for Ca4TcIr at its PBEsol-relaxed geometry.

- energy (eV/cell) = -550.6
- energy of formation (eV per formula unit) = 7.2
- V (A^3/atom) = 22.8
- D(E_F) (states/eV per cell) = 20.51
- total magnetic moment (μB per cell) = 10.46

Cell lengths 8.175, 8.175, 8.175 Å; angles 90.00, 90.00, 90.00 degrees
Space group F-43m (No. 216)
One atom of each set of equivalent atoms:
Ca  0.125  0.125  0.125 x16
Tc  0.250  0.250  0.750 x4
Ir  0.000  0.000  0.500 x4

No. 4
Density functional theory data (SCAN) for CaTcIr2 at its PBEsol-relaxed geometry.

- energy (eV/cell) = -741.2
- energy of formation (eV per formula unit) = 1.6
- V (A^3/atom) = 15.7
- D(E_F) (states/eV per cell) = 26.07
- total magnetic moment (μB per cell) = 0.04
- ΔE to the lowest computed polymorph (meV/atom) = 198

Cell lengths 6.314, 6.314, 6.314 Å; angles 90.00, 90.00, 90.00 degrees
Space group F-43m (No. 216)
One atom of each set of equivalent atoms:
Ca  0.000  0.000  0.000 x4
Tc  0.250  0.250  0.750 x4
Ir  0.000  0.000  0.500 x4
Ir  0.250  0.250  0.250 x4

The calculation returns the following density values, one per record and in order: 11.14, 9.92, 5.48, 13.79 g/cm³.